ScZn2Ir2: optimized geometry, PBE.

Space group   No. 139
Excess energy over the best structure of this formula in the dataset   0.1352 eV/atom
Calculated volume   16.9 Å³ per atom
Energy of formation from the pure elements   -0.318 eV per atom
Magnetic moment   0.00 μB/f.u.

a = 3.7208 Å, b = 3.7208 Å, c = 6.6550 Å
α = 73.77°, β = 73.77°, γ = 90.00°
With the nearest neighbours (Å) after each atom.
Fractional positions:
1 Sc 0.0000 0.0000 0.0000  8 Ir 2.92
2 Zn 0.7500 0.2500 0.5000  4 Ir 2.58, 4 Zn 2.63
3 Zn 0.2500 0.7500 0.5000  4 Ir 2.58, 4 Zn 2.63
4 Ir 0.3957 0.3957 0.2086  1 Ir 2.55, 4 Zn 2.58
5 Ir 0.6043 0.6043 0.7914  1 Ir 2.55, 4 Zn 2.58